A geometry-optimized LiV2BAs structure. Source: Alexandria, functional PBE.

Properties
Total DFT energy (no corrections) ... -5.16 eV per atom

Geometry as CIF:
```
data_LiV2BAs
_cell_length_a 4.716
_cell_length_b 4.716
_cell_length_c 4.033
_cell_angle_alpha 90.00
_cell_angle_beta 90.00
_cell_angle_gamma 90.00
_space_group_name_H-M_alt 'P 4/m m m'
_space_group_IT_number 123
_space_group_name_Hall '-P 4 2'
loop_
_atom_site_label
_atom_site_fract_x
_atom_site_fract_y
_atom_site_fract_z
Li1 0.000 0.000 0.000
V1 0.000 0.500 0.500
B1 0.500 0.500 0.000
As1 0.500 0.500 0.500
```